Record 1
# PmAgHgCl6

An optimized crystal structure of PmAgHgCl6 (PBE, the Alexandria database).

Output
VASP energy, eV per atom: -3.371
Crystal system: trigonal
Magnetic moment, μB per formula unit: 0.00
D(E_F), states/eV per cell: 0.000

Cell and atoms, written as CIF:
```
data_PmAgHgCl6
_cell_length_a 6.8673
_cell_length_b 6.8673
_cell_length_c 12.3776
_cell_angle_alpha 90.00
_cell_angle_beta 90.00
_cell_angle_gamma 120.00
_symmetry_space_group_name_H-M 'P -3 1 c'
_symmetry_Int_Tables_number 163
_symmetry_space_group_name_Hall '-P 3 2c'
loop_
_atom_site_label
_atom_site_type_symbol
_atom_site_fract_x
_atom_site_fract_y
_atom_site_fract_z
_atom_site_occupancy
Pm1 Pm 0.3333 0.6667 0.2500 1
Ag1 Ag 0.0000 0.0000 0.0000 1
Hg1 Hg 0.3333 0.6667 0.7500 1
Cl1 Cl 0.0016 0.3418 0.6259 1
```

Record 2
# AgHg6PtCl2

An optimized crystal structure of AgHg6PtCl2 (PBE, the Alexandria database).

Output
VASP energy, eV per atom: -1.596
Crystal system: monoclinic
Magnetic moment, μB per formula unit: 0.00
D(E_F), states/eV per cell: 2.757

Cell and atoms, written as CIF:
```
data_AgHg6PtCl2
_cell_length_a 11.435
_cell_length_b 7.185
_cell_length_c 7.207
_cell_angle_alpha 90.00
_cell_angle_beta 99.99
_cell_angle_gamma 90.00
_symmetry_space_group_name_H-M 'C 1 2/m 1'
_symmetry_Int_Tables_number 12
_symmetry_space_group_name_Hall '-C 2y'
loop_
_atom_site_label
_atom_site_type_symbol
_atom_site_fract_x
_atom_site_fract_y
_atom_site_fract_z
_atom_site_occupancy
Ag1 Ag 0.000 0.000 0.000 1
Hg1 Hg 0.107 0.207 0.358 1
Hg2 Hg 0.163 0.500 0.802 1
Pt1 Pt 0.000 0.500 0.500 1
Cl1 Cl 0.192 0.000 0.874 1
```

Record 3
# RbAg2HgCl4

An optimized crystal structure of RbAg2HgCl4 (PBE, the Alexandria database).

Output
VASP energy, eV per atom: -2.510
Crystal system: orthorhombic
Magnetic moment, μB per formula unit: 0.00
D(E_F), states/eV per cell: 19.930

Cell and atoms, written as CIF:
```
data_RbAg2HgCl4
_cell_length_a 9.064
_cell_length_b 9.081
_cell_length_c 13.270
_cell_angle_alpha 90.00
_cell_angle_beta 90.00
_cell_angle_gamma 90.00
_symmetry_space_group_name_H-M 'F m m 2'
_symmetry_Int_Tables_number 42
_symmetry_space_group_name_Hall 'F 2 -2'
loop_
_atom_site_label
_atom_site_type_symbol
_atom_site_fract_x
_atom_site_fract_y
_atom_site_fract_z
_atom_site_occupancy
Rb1 Rb 0.000 0.000 0.000 1
Ag1 Ag 0.250 0.250 0.249 1
Hg1 Hg 0.000 0.000 0.499 1
Cl1 Cl 0.000 0.226 0.652 1
Cl2 Cl 0.227 0.000 0.347 1
```

Record 4
# RbAgHg2Cl8

An optimized crystal structure of RbAgHg2Cl8 (PBE, the Alexandria database).

Output
VASP energy, eV per atom: -2.306
Crystal system: triclinic
Magnetic moment, μB per formula unit: 0.00

Cell and atoms, written as CIF:
```
data_RbAgHg2Cl8
_cell_length_a 6.811
_cell_length_b 7.437
_cell_length_c 8.905
_cell_angle_alpha 76.46
_cell_angle_beta 74.98
_cell_angle_gamma 83.78
_symmetry_space_group_name_H-M 'P -1'
_symmetry_Int_Tables_number 2
_symmetry_space_group_name_Hall '-P 1'
loop_
_atom_site_label
_atom_site_type_symbol
_atom_site_fract_x
_atom_site_fract_y
_atom_site_fract_z
_atom_site_occupancy
Rb1 Rb 0.000 0.000 0.000 1
Ag1 Ag 0.000 0.000 0.500 1
Hg1 Hg 0.490 0.506 0.283 1
Cl1 Cl 0.141 0.796 0.693 1
Cl2 Cl 0.245 0.896 0.295 1
Cl3 Cl 0.281 0.342 0.514 1
Cl4 Cl 0.319 0.345 0.963 1
```

Record 5
# RbAg2HgCl6

An optimized crystal structure of RbAg2HgCl6 (PBE, the Alexandria database).

Output
VASP energy, eV per atom: -2.569
Crystal system: monoclinic
Magnetic moment, μB per formula unit: 0.00
D(E_F), states/eV per cell: 28.183

Cell and atoms, written as CIF:
```
data_RbAg2HgCl6
_cell_length_a 11.761
_cell_length_b 15.223
_cell_length_c 8.656
_cell_angle_alpha 90.00
_cell_angle_beta 118.37
_cell_angle_gamma 90.00
_symmetry_space_group_name_H-M 'C 1 2/c 1'
_symmetry_Int_Tables_number 15
_symmetry_space_group_name_Hall '-C 2yc'
loop_
_atom_site_label
_atom_site_type_symbol
_atom_site_fract_x
_atom_site_fract_y
_atom_site_fract_z
_atom_site_occupancy
Rb1 Rb 0.000 0.102 0.250 1
Ag1 Ag 0.126 0.427 0.169 1
Hg1 Hg 0.000 0.214 0.750 1
Cl1 Cl 0.112 0.251 0.058 1
Cl2 Cl 0.117 0.437 0.472 1
Cl3 Cl 0.135 0.080 0.688 1
```

Record 6
# Rb3Ag3HgCl8

An optimized crystal structure of Rb3Ag3HgCl8 (PBE, the Alexandria database).

Output
VASP energy, eV per atom: -2.811
Crystal system: monoclinic
Magnetic moment, μB per formula unit: 0.00
D(E_F), states/eV per cell: 0.000

Cell and atoms, written as CIF:
```
data_Rb3Ag3HgCl8
_cell_length_a 14.916
_cell_length_b 8.224
_cell_length_c 8.756
_cell_angle_alpha 90.00
_cell_angle_beta 123.33
_cell_angle_gamma 90.00
_symmetry_space_group_name_H-M 'C 1 2/m 1'
_symmetry_Int_Tables_number 12
_symmetry_space_group_name_Hall '-C 2y'
loop_
_atom_site_label
_atom_site_type_symbol
_atom_site_fract_x
_atom_site_fract_y
_atom_site_fract_z
_atom_site_occupancy
Rb1 Rb 0.000 0.000 0.000 1
Rb2 Rb 0.250 0.250 0.000 1
Ag1 Ag 0.000 0.500 0.500 1
Ag2 Ag 0.250 0.250 0.500 1
Hg1 Hg 0.000 0.000 0.500 1
Cl1 Cl 0.008 0.243 0.300 1
Cl2 Cl 0.229 0.000 0.691 1
Cl3 Cl 0.240 0.500 0.701 1
```

Record 7
# Rb2AgHg2Cl6

An optimized crystal structure of Rb2AgHg2Cl6 (PBE, the Alexandria database).

Output
VASP energy, eV per atom: -2.484
Crystal system: monoclinic
Magnetic moment, μB per formula unit: 0.00
D(E_F), states/eV per cell: 5.600

Cell and atoms, written as CIF:
```
data_Rb2AgHg2Cl6
_cell_length_a 13.489
_cell_length_b 7.718
_cell_length_c 8.241
_cell_angle_alpha 90.00
_cell_angle_beta 120.66
_cell_angle_gamma 90.00
_symmetry_space_group_name_H-M 'C 1 2/m 1'
_symmetry_Int_Tables_number 12
_symmetry_space_group_name_Hall '-C 2y'
loop_
_atom_site_label
_atom_site_type_symbol
_atom_site_fract_x
_atom_site_fract_y
_atom_site_fract_z
_atom_site_occupancy
Rb1 Rb 0.224 0.000 0.177 1
Ag1 Ag 0.000 0.000 0.500 1
Hg1 Hg 0.052 0.500 0.194 1
Cl1 Cl 0.060 0.232 0.772 1
Cl2 Cl 0.234 0.000 0.583 1
```

Record 8
# Rb3AgHg2Cl8

An optimized crystal structure of Rb3AgHg2Cl8 (PBE, the Alexandria database).

Output
VASP energy, eV per atom: -2.660
Crystal system: trigonal
Magnetic moment, μB per formula unit: 0.00

Cell and atoms, written as CIF:
```
data_Rb3AgHg2Cl8
_cell_length_a 7.5303
_cell_length_b 7.5303
_cell_length_c 9.5798
_cell_angle_alpha 90.00
_cell_angle_beta 90.00
_cell_angle_gamma 120.00
_symmetry_space_group_name_H-M 'P -3 m 1'
_symmetry_Int_Tables_number 164
_symmetry_space_group_name_Hall '-P 3 2"'
loop_
_atom_site_label
_atom_site_type_symbol
_atom_site_fract_x
_atom_site_fract_y
_atom_site_fract_z
_atom_site_occupancy
Rb1 Rb 0.0000 0.0000 0.0000 1
Rb2 Rb 0.3333 0.6667 0.6019 1
Ag1 Ag 0.0000 0.0000 0.5000 1
Hg1 Hg 0.3333 0.6667 0.1875 1
Cl1 Cl 0.1616 0.3231 0.3210 1
Cl2 Cl 0.3333 0.6667 0.9342 1
```

Record 9
# RbAgHgCl5

An optimized crystal structure of RbAgHgCl5 (PBE, the Alexandria database).

Output
VASP energy, eV per atom: -2.519
Crystal system: monoclinic
Magnetic moment, μB per formula unit: 0.00

Cell and atoms, written as CIF:
```
data_RbAgHgCl5
_cell_length_a 8.903
_cell_length_b 12.275
_cell_length_c 10.046
_cell_angle_alpha 90.00
_cell_angle_beta 112.06
_cell_angle_gamma 90.00
_symmetry_space_group_name_H-M 'C 1 2/c 1'
_symmetry_Int_Tables_number 15
_symmetry_space_group_name_Hall '-C 2yc'
loop_
_atom_site_label
_atom_site_type_symbol
_atom_site_fract_x
_atom_site_fract_y
_atom_site_fract_z
_atom_site_occupancy
Rb1 Rb 0.000 0.141 0.250 1
Ag1 Ag 0.000 0.500 0.000 1
Hg1 Hg 0.000 0.232 0.750 1
Cl1 Cl 0.000 0.480 0.250 1
Cl2 Cl 0.125 0.255 0.583 1
Cl3 Cl 0.224 0.068 0.931 1
```

Record 10
# Rb2Ag2HgCl6

An optimized crystal structure of Rb2Ag2HgCl6 (PBE, the Alexandria database).

Output
VASP energy, eV per atom: -2.723
Crystal system: trigonal
Magnetic moment, μB per formula unit: 0.00

Cell and atoms, written as CIF:
```
data_Rb2Ag2HgCl6
_cell_length_a 7.8936
_cell_length_b 7.8936
_cell_length_c 20.0223
_cell_angle_alpha 90.00
_cell_angle_beta 90.00
_cell_angle_gamma 120.00
_symmetry_space_group_name_H-M 'R -3 m'
_symmetry_Int_Tables_number 166
_symmetry_space_group_name_Hall '-R 3 2"'
loop_
_atom_site_label
_atom_site_type_symbol
_atom_site_fract_x
_atom_site_fract_y
_atom_site_fract_z
_atom_site_occupancy
Rb1 Rb 0.0000 0.0000 0.2210 1
Ag1 Ag 0.0000 0.0000 0.4252 1
Hg1 Hg 0.0000 0.0000 0.0000 1
Cl1 Cl 0.0295 0.5148 0.7536 1
```

Record 11
# Rb3AgHg2Cl9

An optimized crystal structure of Rb3AgHg2Cl9 (PBE, the Alexandria database).

Output
VASP energy, eV per atom: -2.622
Crystal system: trigonal
Magnetic moment, μB per formula unit: 0.00
D(E_F), states/eV per cell: 5.014

Cell and atoms, written as CIF:
```
data_Rb3AgHg2Cl9
_cell_length_a 7.4812
_cell_length_b 7.4812
_cell_length_c 9.1622
_cell_angle_alpha 90.00
_cell_angle_beta 90.00
_cell_angle_gamma 120.00
_symmetry_space_group_name_H-M 'P -3 m 1'
_symmetry_Int_Tables_number 164
_symmetry_space_group_name_Hall '-P 3 2"'
loop_
_atom_site_label
_atom_site_type_symbol
_atom_site_fract_x
_atom_site_fract_y
_atom_site_fract_z
_atom_site_occupancy
Rb1 Rb 0.0000 0.0000 0.0000 1
Rb2 Rb 0.3333 0.6667 0.6638 1
Ag1 Ag 0.0000 0.0000 0.5000 1
Hg1 Hg 0.3333 0.6667 0.1733 1
Cl1 Cl 0.0000 0.5000 0.0000 1
Cl2 Cl 0.1649 0.3297 0.3354 1
```